1.
Below is an optimized crystal structure of Li2Cd8Ag3, with properties calculated at the GGA-PBE level.

Structure (extended XYZ):
```
13
Lattice="5.608 -4.932 0.000 5.608 4.932 0.000 -1.699 0.000 4.772" Properties=species:S:1:pos:R:3 pbc="T T T"
Li 1.657 0.000 1.712
Li 7.862 0.000 3.060
Cd -0.591 0.000 3.798
Cd 3.230 2.398 1.716
Cd 2.324 0.000 4.400
Cd 6.288 2.398 3.056
Cd 3.230 -2.398 1.716
Cd 7.195 0.000 0.372
Cd 6.288 -2.398 3.056
Cd 10.109 0.000 0.974
Ag 5.608 2.440 0.000
Ag 4.759 0.000 2.386
Ag 5.608 -2.440 0.000
```

Properties
**Final energy**: -1.585 eV/atom
**DOS at the Fermi energy**: 3.6 states/eV/cell
**V**: 20.3 Å³ per atom
**Calculated formation energy**: -0.07 eV per atom
**Relative energy among the computed polymorphs**: 0.0 meV/atom

=====

2.
Below is an optimized crystal structure of Li3Cd6Ag, with properties calculated at the GGA-PBE level.

Structure (extended XYZ):
```
20
Lattice="5.209 3.007 4.272 -5.209 3.007 4.272 0.000 -6.015 4.272" Properties=species:S:1:pos:R:3 pbc="T T T"
Li -2.701 -0.766 6.930
Li -0.687 -2.722 5.886
Li -2.013 1.956 5.886
Li 2.013 -1.956 6.930
Li 0.687 2.722 6.930
Li 2.701 0.766 5.886
Cd -4.465 0.557 5.314
Cd -1.723 -0.379 3.961
Cd -2.715 -3.589 7.502
Cd 1.189 -1.302 3.961
Cd 1.750 -4.145 5.314
Cd 0.533 1.681 3.961
Cd -0.533 -1.681 8.855
Cd -1.750 4.145 7.502
Cd -1.189 1.302 8.855
Cd 2.715 3.589 5.314
Cd 1.723 0.379 8.855
Cd 4.465 -0.557 7.502
Ag 0.000 0.000 0.000
Ag 0.000 0.000 6.408
```

Properties
**Final energy**: -1.549 eV/atom
**DOS at the Fermi energy**: 5.6 states/eV/cell
**V**: 20.1 Å³ per atom
**Calculated formation energy**: -0.14 eV per atom
**Relative energy among the computed polymorphs**: 50.4 meV/atom

=====

3.
Below is an optimized crystal structure of LiCd7Ag4, with properties calculated at the GGA-PBE level.

Structure (extended XYZ):
```
12
Lattice="4.793 0.000 0.000 -2.397 4.151 0.000 0.000 0.000 11.823" Properties=species:S:1:pos:R:3 pbc="T T T"
Li 0.000 0.000 0.000
Cd 0.000 0.000 2.807
Cd 0.000 0.000 5.911
Cd 0.000 0.000 9.016
Cd 0.000 2.767 7.816
Cd 0.000 2.767 10.895
Cd 2.397 1.384 0.928
Cd 2.397 1.384 4.007
Ag 0.000 2.767 1.954
Ag 0.000 2.767 4.903
Ag 2.397 1.384 6.920
Ag 2.397 1.384 9.869
```

Properties
**Final energy**: -1.725 eV/atom
**DOS at the Fermi energy**: 2.0 states/eV/cell
**V**: 19.6 Å³ per atom
**Calculated formation energy**: -0.08 eV per atom
**Relative energy among the computed polymorphs**: 0.0 meV/atom

=====

4.
Below is an optimized crystal structure of Li2Cd4Ag3, with properties calculated at the GGA-PBE level.

Structure (extended XYZ):
```
9
Lattice="6.448 -2.117 0.000 6.448 2.117 0.000 -2.210 0.000 6.193" Properties=species:S:1:pos:R:3 pbc="T T T"
Li 1.003 0.000 3.082
Li 9.683 0.000 3.111
Cd -1.179 0.000 5.117
Cd 3.165 0.000 1.144
Cd 7.521 0.000 5.049
Cd 11.866 0.000 1.076
Ag 3.137 0.000 5.060
Ag 5.343 0.000 3.097
Ag 7.550 0.000 1.133
```

Properties
**Final energy**: -1.937 eV/atom
**DOS at the Fermi energy**: 2.1 states/eV/cell
**V**: 18.8 Å³ per atom
**Calculated formation energy**: -0.15 eV per atom
**Relative energy among the computed polymorphs**: 20.7 meV/atom

=====

5.
Below is an optimized crystal structure of LiCdAg6, with properties calculated at the GGA-PBE level.

Structure (extended XYZ):
```
8
Lattice="5.899 0.000 0.000 -2.950 5.109 0.000 0.000 0.000 4.761" Properties=species:S:1:pos:R:3 pbc="T T T"
Li 0.000 0.000 0.000
Cd 0.000 3.406 2.381
Ag 1.459 0.842 2.381
Ag 2.950 0.015 0.000
Ag 1.488 2.547 0.000
Ag 4.440 0.842 2.381
Ag 2.950 3.424 2.381
Ag 4.412 2.547 0.000
```

Properties
**Final energy**: -2.570 eV/atom
**DOS at the Fermi energy**: 3.8 states/eV/cell
**V**: 17.9 Å³ per atom
**Calculated formation energy**: -0.08 eV per atom
**Relative energy among the computed polymorphs**: 4.0 meV/atom

=====

6.
Below is an optimized crystal structure of Li2Cd7Ag2, with properties calculated at the GGA-PBE level.

Structure (extended XYZ):
```
11
Lattice="5.221 -4.385 0.000 5.221 4.385 0.000 -1.857 0.000 5.098" Properties=species:S:1:pos:R:3 pbc="T T T"
Li 1.861 0.000 1.388
Li 6.725 0.000 3.710
Cd -0.928 0.000 2.549
Cd 1.129 1.548 3.838
Cd 1.129 -1.548 3.838
Cd 4.738 0.000 1.285
Cd 3.848 0.000 3.813
Cd 7.457 1.548 1.260
Cd 7.457 -1.548 1.260
Ag 5.221 2.887 0.000
Ag 5.221 -2.887 0.000
```

Properties
**Final energy**: -1.505 eV/atom
**DOS at the Fermi energy**: 3.5 states/eV/cell
**V**: 21.2 Å³ per atom
**Calculated formation energy**: -0.06 eV per atom
**Relative energy among the computed polymorphs**: 51.2 meV/atom

=====

> calculated formation energy of number 2 (Li3Cd6Ag)?

-0.14 eV per atom

=====

> Which value of calculated formation energy does entry 4 give?

-0.15 eV per atom

=====

> What is the final energy in the sixth record?

-1.505 eV/atom

=====

> Which value of relative energy among the computed polymorphs does entry 4 give?

20.7 meV/atom